Entry 1:
NbRuRh2 | PBE-GGA | relaxed

As for the crystal system: cubic. For the energy relative to the elements, the calculation gives 70 meV/atom. As for the total energy: -8.44 eV/atom.

It has space group Fm-3m (No. 225), with a = 6.276 Å, b = 6.276 Å, c = 6.276 Å, α = 90.00°, β = 90.00° and γ = 90.00°. The asymmetric unit holds Nb at (0.000, 0.000, 0.000), Ru at (0.000, 0.000, 0.500) and Rh at (0.250, 0.250, 0.250).

=====

Entry 2:
K2SiC | PBE-GGA | relaxed

Its energy above the most stable polymorph in this dataset is 0 meV per atom. The calculation puts the uncorrected formation energy at 0.58 eV/atom. As for the crystal system: tetragonal. As for the total energy: -3.63 eV/atom.

It has space group I-42d (No. 122), with a = 12.129 Å, b = 12.129 Å, c = 3.619 Å, α = 90.00°, β = 90.00° and γ = 90.00°. The asymmetric unit holds K at (0.022, 0.750, 0.125), Si at (0.000, 0.000, 0.500) and C at (0.000, 0.000, 0.000).

=====

Entry 3:
Zn3Cd5Hg12 | PBE-GGA | relaxed

As for the crystal system: cubic. For the energy relative to the elements, the calculation gives 132 meV/atom. As for the total energy: -0.47 eV/atom.

It has space group Ia-3d (No. 230), with a = 16.845 Å, b = 16.845 Å, c = 16.845 Å, α = 90.00°, β = 90.00° and γ = 90.00°. The asymmetric unit holds Zn at (0.000, 0.250, 0.125), Cd at (0.000, 0.000, 0.000), Cd at (0.000, 0.250, 0.375) and Hg at (0.021, 0.091, 0.650).

=====

Entry 4:
Al2InCl | PBE-GGA | relaxed

Its energy above the most stable polymorph in this dataset is 197 meV per atom. The calculation puts the uncorrected formation energy at -0.02 eV/atom. As for the crystal system: orthorhombic. As for the total energy: -3.03 eV/atom.

It has space group Immm (No. 71), with a = 3.127 Å, b = 4.957 Å, c = 11.500 Å, α = 90.00°, β = 90.00° and γ = 90.00°. The asymmetric unit holds Al at (0.000, 0.000, 0.229), In at (0.000, 0.500, 0.500) and Cl at (0.000, 0.500, 0.000).

=====

Entry 5:
TmInTe2 | PBE-GGA | relaxed

The calculation puts the uncorrected formation energy at -0.74 eV/atom. As for the crystal system: tetragonal. As for the total energy: -4.12 eV/atom.

It has space group P4/mmm (No. 123), with a = 3.830 Å, b = 3.830 Å, c = 8.028 Å, α = 90.00°, β = 90.00° and γ = 90.00°. The asymmetric unit holds Tm at (0.000, 0.000, 0.000), In at (0.000, 0.000, 0.500) and Te at (0.500, 0.500, 0.218).

=====

Entry 6:
OsRuN | PBE-GGA | relaxed

Its energy above the most stable polymorph in this dataset is 0 meV per atom. The calculation puts the uncorrected formation energy at 0.35 eV/atom. As for the crystal system: trigonal. As for the total energy: -9.26 eV/atom.

It has space group P3m1 (No. 156), with a = 2.7596 Å, b = 2.7596 Å, c = 5.4552 Å, α = 90.00°, β = 90.00° and γ = 120.00°. The asymmetric unit holds Os at (0.0000, 0.0000, 0.0000), Ru at (0.3333, 0.6667, 0.5992) and N at (0.0000, 0.0000, 0.3660).

=====

no.,density (g/cm³)
1,10.74
2,1.48
3,8.80
4,3.81
5,7.60
6,14.09